This record from Alexandria via LeMat-Bulk describes a geometry-optimized Rb2TcBr2F4 structure. The functional is PBE-GGA.

The total moment is 3.0 μB per formula unit. The uncorrected formation energy comes out at -2.02 eV per atom. The total energy is -41.273 eV per cell. As for the space-group type: No. 12.

abc: 7.3243 7.3243 5.4026
angles: 91.89 91.89 51.20
With the nearest neighbours (Å) after each atom.
Element x y z (fractional)
Rb 0.1293 0.1293 0.1266  4 F 2.92-2.95
Rb 0.8707 0.8707 0.8734  4 F 2.92-2.95
Tc 0.5000 0.5000 0.5000  4 F 1.97
Br 0.3185 0.3185 0.6461  1 Tc 2.55
Br 0.6815 0.6815 0.3539  1 Tc 2.55
F 0.2355 0.6893 0.2642  1 Tc 1.97
F 0.3107 0.7645 0.7358  1 Tc 1.97
F 0.6893 0.2355 0.2642  1 Tc 1.97
F 0.7645 0.3107 0.7358  1 Tc 1.97

This record from Alexandria via LeMat-Bulk describes a geometry-optimized CrBiSbAu2 structure. The functional is PBE-GGA.

The total moment is 3.3 μB per formula unit. The uncorrected formation energy comes out at 0.92 eV per atom. The value obtained for the density of states at the Fermi level is 0.974 states/eV/atom. The total energy is -19.577 eV per cell. As for the space-group type: No. 123.

abc: 5.3408 5.3408 5.2560
angles: 90.00 90.00 90.00
With the nearest neighbours (Å) after each atom.
Element x y z (fractional)
Cr 0.0000 0.0000 0.0000  2 Bi 2.63
Bi 0.0000 0.0000 0.5000  2 Cr 2.63, 4 Au 2.67
Sb 0.5000 0.5000 0.0000  8 Au 3.75, 4 Cr 3.78
Au 0.0000 0.5000 0.5000  2 Bi 2.67
Au 0.5000 0.0000 0.5000  2 Bi 2.67

> The highest total moment belongs to which entry?

CrBiSbAu2